[1]
# Mg2ZrW | Alexandria via LeMat-Bulk | GGA-PBE | optimized geometry
data_Mg2ZrW
_symmetry_space_group_name_H-M 'P 4 m m'
_symmetry_Int_Tables_number 99
_cell_length_a 2.8714
_cell_length_b 2.8714
_cell_length_c 9.6809
_cell_angle_alpha 90.00
_cell_angle_beta 90.00
_cell_angle_gamma 90.00
loop_
_symmetry_equiv_pos_as_xyz
'x,y,z'
'-y,x,z'
'-x,-y,z'
'y,-x,z'
'-x,y,z'
'y,x,z'
'x,-y,z'
'-y,-x,z'
loop_
_atom_site_label
_atom_site_fract_x
_atom_site_fract_y
_atom_site_fract_z
Mg1 0.0000 0.0000 0.0000
Mg2 0.5000 0.5000 0.2618
Zr1 0.5000 0.5000 0.7295
W1 0.0000 0.0000 0.4890
# energy of formation from the pure elements	0.256	eV per atom
# density of states at the Fermi level	1.998	states/eV/cell
# total magnetization	0.000	μB per formula unit
# total DFT energy (no corrections)	-23.666	eV/f.u.

***

[2]
# YIrSe2 | Alexandria via LeMat-Bulk | GGA-PBE | optimized geometry
data_YIrSe2
_symmetry_space_group_name_H-M 'F m -3 m'
_symmetry_Int_Tables_number 225
_symmetry_space_group_name_Hall '-F 4 2 3'
_cell_length_a 6.7630
_cell_length_b 6.7630
_cell_length_c 6.7630
_cell_angle_alpha 90.00
_cell_angle_beta 90.00
_cell_angle_gamma 90.00
loop_
_atom_site_label
_atom_site_fract_x
_atom_site_fract_y
_atom_site_fract_z
Y1 0.0000 0.0000 0.0000
Ir1 0.0000 0.0000 0.5000
Se1 0.2500 0.2500 0.2500
# E_form (uncorrected)	-0.47	eV per atom
# density of states at the Fermi level	24.309	states/eV/cell
# total magnetization	0.001	μB per formula unit
# total DFT energy (no corrections)	-24.178	eV/f.u.

***

[3]
# AcMgAl2 | Alexandria via LeMat-Bulk | GGA-PBE | optimized geometry
data_AcMgAl2
_symmetry_space_group_name_H-M 'P 4/m m m'
_symmetry_Int_Tables_number 123
_symmetry_space_group_name_Hall '-P 4 2'
_cell_length_a 4.7452
_cell_length_b 4.7452
_cell_length_c 4.6317
_cell_angle_alpha 90.00
_cell_angle_beta 90.00
_cell_angle_gamma 90.00
loop_
_atom_site_label
_atom_site_fract_x
_atom_site_fract_y
_atom_site_fract_z
Ac1 0.0000 0.0000 0.0000
Mg1 0.5000 0.5000 0.0000
Al1 0.0000 0.5000 0.5000
# energy of formation from the pure elements	-0.084	eV per atom
# density of states at the Fermi level	2.908	states/eV/cell
# total magnetization	0.000	μB per formula unit
# total DFT energy (no corrections)	-13.523	eV/f.u.

***

[4]
# PPd2S4 | Alexandria via LeMat-Bulk | GGA-PBE | optimized geometry
data_PPd2S4
_symmetry_space_group_name_H-M 'I -4 2 m'
_symmetry_Int_Tables_number 121
_symmetry_space_group_name_Hall 'I -4 2'
_cell_length_a 6.2623
_cell_length_b 6.2623
_cell_length_c 7.4434
_cell_angle_alpha 90.00
_cell_angle_beta 90.00
_cell_angle_gamma 90.00
loop_
_atom_site_label
_atom_site_fract_x
_atom_site_fract_y
_atom_site_fract_z
P1 0.0000 0.0000 0.0000
Pd1 0.0000 0.5000 0.2500
S1 0.2011 0.2011 0.1435
# E_form (uncorrected)	-0.16	eV per atom
# density of states at the Fermi level	9.170	states/eV/cell
# total magnetization	0.000	μB per formula unit
# total DFT energy (no corrections)	-33.407	eV/f.u.